1.
First-principles (PBE) data for a relaxed structure of Ce4Ir2O, as listed in Alexandria via LeMat-Bulk.

The calculation puts the total magnetization at 2.79 μB/cell. The space-group type is I4/mmm. Its final energy is -7.7772 eV per atom.

Cell lengths 7.898, 7.898, 7.898 Å; angles 145.06, 145.06, 50.24 degrees
Sites, in units of the cell vectors:
Ce1 0.000 0.500 0.500
Ce2 0.188 0.188 0.000
Ce3 0.500 0.000 0.500
Ce4 0.812 0.812 0.000
Ir1 0.366 0.366 0.000
Ir2 0.634 0.634 0.000
O1 0.000 0.000 0.000

=====

2.
First-principles (PBE) data for a relaxed structure of LiAlTe, as listed in Alexandria via LeMat-Bulk.

For the energy above the lowest structure with this stoichiometry, the calculation gives 0.036 eV/atom. The calculation puts the total magnetization at 0.00 μB/cell. The space-group type is F-43m.

Cell lengths 4.659, 4.659, 4.659 Å; angles 60.00, 60.00, 60.00 degrees
Sites, in units of the cell vectors:
Li1 0.000 0.000 0.000
Al1 0.750 0.750 0.750
Te1 0.250 0.250 0.250

=====

3.
First-principles (PBE) data for a relaxed structure of YAg4Hg, as listed in Alexandria via LeMat-Bulk.

The calculation puts the total magnetization at 0.00 μB/cell. The space-group type is F-43m. Its final energy is -3.2087 eV per atom.

Cell lengths 5.582, 5.582, 5.582 Å; angles 60.00, 60.00, 60.00 degrees
Sites, in units of the cell vectors:
Y1 0.000 0.000 0.000
Ag1 0.126 0.625 0.625
Ag2 0.625 0.126 0.625
Ag3 0.625 0.625 0.126
Ag4 0.625 0.625 0.625
Hg1 0.250 0.250 0.250

=====

4.
First-principles (PBE) data for a relaxed structure of FeBiSN2, as listed in Alexandria via LeMat-Bulk.

For the energy above the lowest structure with this stoichiometry, the calculation gives 1.051 eV/atom. The calculation puts the total magnetization at 5.43 μB/cell. The space-group type is P4/mmm.

Cell lengths 4.225, 4.225, 5.436 Å; angles 90.00, 90.00, 90.00 degrees
Sites, in units of the cell vectors:
Fe1 0.000 0.000 0.000
Bi1 0.500 0.500 0.500
S1 0.500 0.500 0.000
N1 0.000 0.500 0.500
N2 0.500 0.000 0.500

=====

5.
First-principles (PBE) data for a relaxed structure of Al4TcMo, as listed in Alexandria via LeMat-Bulk.

The calculation puts the total magnetization at 0.00 μB/cell. The space-group type is F-43m. Its final energy is -6.0040 eV per atom.

Cell lengths 4.994, 4.994, 4.994 Å; angles 60.00, 60.00, 60.00 degrees
Sites, in units of the cell vectors:
Al1 0.125 0.125 0.125
Al2 0.125 0.125 0.625
Al3 0.125 0.625 0.125
Al4 0.625 0.125 0.125
Tc1 0.500 0.500 0.500
Mo1 0.750 0.750 0.750

=====

6.
First-principles (PBE) data for a relaxed structure of LiYTm4S8, as listed in Alexandria via LeMat-Bulk.

The calculation puts the total magnetization at 0.00 μB/cell. The space-group type is R3m. Its final energy is -6.2098 eV per atom.

Cell lengths 7.942, 7.942, 7.942 Å; angles 59.71, 59.71, 59.71 degrees
Sites, in units of the cell vectors:
Li1 0.000 0.000 0.000
Y1 0.370 0.370 0.370
Tm1 0.370 0.370 0.889
Tm2 0.370 0.889 0.370
Tm3 0.749 0.749 0.749
Tm4 0.889 0.370 0.370
S1 0.129 0.129 0.606
S2 0.129 0.606 0.129
S3 0.132 0.132 0.132
S4 0.149 0.619 0.619
S5 0.606 0.129 0.129
S6 0.616 0.616 0.616
S7 0.619 0.149 0.619
S8 0.619 0.619 0.149